Entry 1:
# PBE BeTl5Au6, relaxed
data_BeTl5Au6
_chemical_formula_sum 'Be1 Tl5 Au6'
_space_group_name_H-M_alt 'P 1'
_space_group_IT_number 1
_space_group_name_Hall 'P 1'
_cell_length_a 7.029
_cell_length_b 6.955
_cell_length_c 7.326
_cell_angle_alpha 61.66
_cell_angle_beta 78.30
_cell_angle_gamma 64.70
loop_
_atom_site_label
_atom_site_fract_x
_atom_site_fract_y
_atom_site_fract_z
Tl1 0.500 0.500 0.000
Tl2 0.500 0.792 0.417
Tl3 0.000 0.360 0.281
Tl4 0.000 0.640 0.719
Tl5 0.500 0.208 0.583
Au1 0.268 0.124 0.000
Au2 0.198 0.668 0.292
Au3 0.802 0.040 0.292
Au4 0.802 0.332 0.708
Au5 0.732 0.876 0.000
Au6 0.198 0.960 0.708
Be1 0.000 0.000 0.000
# formation enthalpy at 0 K = -0.007 eV/atom
# space-group type = No. 12

Entry 2:
# PBE Cr2SiOs, relaxed
data_Cr2SiOs
_chemical_formula_sum 'Cr2 Si1 Os1'
_space_group_name_H-M_alt 'P 1'
_space_group_IT_number 1
_space_group_name_Hall 'P 1'
_cell_length_a 8.174
_cell_length_b 8.174
_cell_length_c 8.174
_cell_angle_alpha 19.08
_cell_angle_beta 19.08
_cell_angle_gamma 19.08
loop_
_atom_site_label
_atom_site_fract_x
_atom_site_fract_y
_atom_site_fract_z
Os1 0.501 0.501 0.501
Si1 0.746 0.746 0.746
Cr1 0.999 0.999 0.999
Cr2 0.254 0.254 0.254
# formation energy without anion corrections = 0.12 eV per atom
# space-group type = No. 160

no.,density (g/cm3),total moment (μB/f.u.)
1,12.892,0.00
2,10.494,0.00